1.
An optimized crystal structure of LiAlC3, computed with GGA-PBE.

Unit cell a=3.6123 b=3.6123 c=3.6123 alpha=90.00 beta=90.00 gamma=90.00
Sites, in units of the cell vectors:
C1 0.5000 0.0000 0.0000
C2 0.0000 0.0000 0.5000
C3 0.0000 0.5000 0.0000
Al1 0.5000 0.5000 0.5000
Li1 0.0000 0.0000 0.0000

The calculation puts the theoretical density at 2.46 g cm⁻³. Its density of states at the Fermi level is 2.4 states/eV per cell.

***

2.
An optimized crystal structure of LiAlC3, computed with GGA-PBE.

Unit cell a=3.9326 b=3.9326 c=3.9326 alpha=90.00 beta=90.00 gamma=90.00
Sites, in units of the cell vectors:
Li1 0.5000 0.5000 0.5000
Al1 0.0000 0.0000 0.0000
C1 0.5000 0.0000 0.0000
C2 0.0000 0.5000 0.0000
C3 0.0000 0.0000 0.5000

The calculation puts the theoretical density at 1.91 g cm⁻³. Its density of states at the Fermi level is 3.4 states/eV per cell.

***

Which of them is the least stable? Correct choice: 1.

***

1.
An optimized crystal structure of LiSc2Al2C2O2, computed with GGA-PBE.

Unit cell a=3.3644 b=3.3644 c=10.2181 alpha=81.53 beta=81.53 gamma=66.97
Sites, in units of the cell vectors:
Sc1 0.5000 0.5000 0.5000
Sc2 0.0000 0.0000 0.0000
Li1 0.5000 0.5000 0.0000
Al1 0.2639 0.2639 0.2267
Al2 0.7361 0.7361 0.7733
C1 0.6293 0.6293 0.1630
C2 0.3707 0.3707 0.8370
O1 0.1938 0.1938 0.4072
O2 0.8062 0.8062 0.5928

The calculation puts the theoretical density at 3.28 g cm⁻³. Its density of states at the Fermi level is 2.2 states/eV per cell.

***

2.
An optimized crystal structure of LiSc2Al2C2O2, computed with GGA-PBE.

Unit cell a=3.4361 b=3.4361 c=10.2950 alpha=83.09 beta=83.09 gamma=66.56
Sites, in units of the cell vectors:
Al1 0.7034 0.7034 0.7944
Al2 0.2966 0.2966 0.2056
C1 0.6474 0.6474 0.1429
C2 0.3526 0.3526 0.8571
Sc1 0.0000 0.0000 0.0000
Sc2 0.5000 0.5000 0.5000
O1 0.2332 0.2332 0.3860
O2 0.7668 0.7668 0.6140
Li1 0.0000 0.0000 0.5000

The calculation puts the theoretical density at 3.11 g cm⁻³. Its density of states at the Fermi level is 2.0 states/eV per cell.

***

Which of them is the least stable? Correct choice: 2.